(1)
10
Lattice="-2.0307 2.0307 14.6318 2.0307 -2.0307 14.6318 2.0307 2.0307 -14.6318" Properties=species:S:1:pos:R:3 comment="Dy5IrSe4 | Alexandria via LeMat-Bulk | PBE | optimized geometry" e_form_raw_kj_per_mol_fu=-1500 space_group="I4/mmm (139)" final_energy_ev_per_atom=-6.14 crystal_system=tetragonal pbc="T T T"
Dy 0.0000 0.0000 0.0000
Dy 0.0000 0.0000 6.0381
Dy 0.0000 0.0000 11.9419
Dy 0.0000 0.0000 17.3216
Dy 0.0000 0.0000 23.2254
Ir 0.0000 0.0000 14.6318
Se 0.0000 0.0000 3.0771
Se 0.0000 0.0000 8.9434
Se 0.0000 0.0000 20.3201
Se 0.0000 0.0000 26.1864

(2)
12
Lattice="3.9856 0.0000 0.0000 -1.9928 3.4516 0.0000 0.0000 0.0000 21.1397" Properties=species:S:1:pos:R:3 comment="Dy2IrSe | Alexandria via LeMat-Bulk | PBE | optimized geometry" polymorph_energy_mev_per_atom=70.6 e_form_raw_kj_per_mol_fu=-476 space_group="R-3m (166)" final_energy_ev_per_atom=-6.62 crystal_system=trigonal pbc="T T T"
Dy 0.0000 0.0000 5.1212
Dy 0.0000 0.0000 16.0185
Dy 0.0000 2.3011 8.9720
Dy 0.0000 2.3011 19.2143
Dy 1.9928 1.1505 1.9254
Dy 1.9928 1.1505 12.1677
Ir 0.0000 0.0000 10.5698
Ir 0.0000 2.3011 3.5233
Ir 1.9928 1.1505 17.6164
Se 0.0000 0.0000 0.0000
Se 0.0000 2.3011 14.0931
Se 1.9928 1.1505 7.0466

(3)
12
Lattice="10.5363 0.0000 0.0000 0.0000 3.7186 0.0000 0.0000 0.0000 6.7118" Properties=species:S:1:pos:R:3 comment="DyIrSe | Alexandria via LeMat-Bulk | PBE | optimized geometry" e_form_raw_kj_per_mol_fu=-127 space_group="Amm2 (38)" final_energy_ev_per_atom=-6.09 crystal_system=orthorhombic pbc="T T T"
Dy 1.7702 0.0000 0.0000
Dy 1.7702 1.8593 3.3559
Dy 8.7661 0.0000 0.0000
Dy 8.7661 1.8593 3.3559
Ir 0.0000 0.0000 4.5111
Ir 0.0000 1.8593 1.1552
Ir 5.2682 0.0000 6.5158
Ir 5.2682 1.8593 3.1599
Se 3.7878 0.0000 4.4815
Se 3.7878 1.8593 1.1256
Se 6.7485 0.0000 4.4815
Se 6.7485 1.8593 1.1256

(4)
8
Lattice="7.4064 0.0000 0.0000 0.0000 4.1408 0.0000 -2.3659 0.0000 7.1123" Properties=species:S:1:pos:R:3 comment="Dy4Te2IrSe | Alexandria via LeMat-Bulk | PBE | optimized geometry" e_form_raw_kj_per_mol_fu=-1024 space_group="P2/m (10)" final_energy_ev_per_atom=-5.96 crystal_system=monoclinic pbc="T T T"
Dy 1.1252 0.0000 1.4669
Dy -0.0407 2.0704 5.5611
Dy 5.0813 2.0704 1.5512
Dy 3.9154 0.0000 5.6454
Te -1.1829 0.0000 3.5562
Te 2.5203 2.0704 3.5562
Ir 0.0000 2.0704 0.0000
Se 3.7032 0.0000 0.0000

(5)
28
Lattice="16.5517 0.0000 0.0000 0.0000 4.1548 0.0000 0.0000 0.0000 6.4392" Properties=species:S:1:pos:R:3 comment="DySi4Ir2 | Alexandria via LeMat-Bulk | PBE | optimized geometry" e_form_raw_kj_per_mol_fu=-533 space_group="Pnma (62)" final_energy_ev_per_atom=-7.08 crystal_system=orthorhombic pbc="T T T"
Dy 2.3387 1.0387 0.0212
Dy 5.9371 3.1161 3.2408
Dy 10.6145 1.0387 3.1984
Dy 14.2130 3.1161 6.4180
Si 0.5558 3.1161 0.8832
Si 1.0780 1.0387 3.4551
Si 3.0111 3.1161 4.4343
Si 3.1784 3.1161 1.8036
Si 5.0974 1.0387 5.0232
Si 5.2647 1.0387 1.2147
Si 7.1978 3.1161 0.2355
Si 7.7200 1.0387 4.1028
Si 8.8316 3.1161 2.3364
Si 9.3539 1.0387 6.2037
Si 11.2870 3.1161 5.2246
Si 11.4542 3.1161 1.4160
Si 13.3733 1.0387 4.6356
Si 13.5405 1.0387 2.0049
Si 15.4736 3.1161 2.9841
Si 15.9958 1.0387 5.5560
Ir 0.5533 3.1161 4.8193
Ir 3.5220 1.0387 3.1076
Ir 4.7538 3.1161 6.3272
Ir 7.7226 1.0387 1.5997
Ir 8.8291 3.1161 4.8395
Ir 11.7978 1.0387 0.1120
Ir 13.0297 3.1161 3.3316
Ir 15.9984 1.0387 1.6199

(6)
9
Lattice="-4.2373 4.2373 2.1943 4.2373 -4.2373 2.1943 4.2373 4.2373 -2.1943" Properties=species:S:1:pos:R:3 comment="DySi4Ir4 | Alexandria via LeMat-Bulk | PBE | optimized geometry" e_form_raw_kj_per_mol_fu=-533 space_group="I4/m (87)" final_energy_ev_per_atom=-7.47 crystal_system=tetragonal pbc="T T T"
Dy 0.0000 0.0000 0.0000
Si 2.7012 1.6732 0.0000
Si 2.5641 -1.5361 2.1943
Si 1.6732 5.7735 0.0000
Si 1.5361 2.5641 2.1943
Ir 5.4946 0.7188 0.0000
Ir 0.7188 2.9801 0.0000
Ir 3.5186 1.2572 2.1943
Ir -1.2572 3.5186 2.1943

- Number 3 is which compound?
  DyIrSe